1.
Y2Hg2Te (PBE, optimized geometry); formation energy (no corrections) = -0.518 eV/atom
1.0
8.2392 0.0000 0.0000
0.0000 8.2392 0.0000
0.0000 0.0000 4.0104
Y Hg Te
4 4 2
direct
0.1706 0.3294 0.0000
0.3294 0.8294 0.0000
0.6706 0.1706 0.0000
0.8294 0.6706 0.0000
0.1279 0.6279 0.5000
0.3721 0.1279 0.5000
0.6279 0.8721 0.5000
0.8721 0.3721 0.5000
0.0000 0.0000 0.5000
0.5000 0.5000 0.5000

2.
DFT (PBE) results for a geometry-optimized YCoC2 structure.

```
YCoC2
1.0
-2.0037 2.0037 6.1783
2.0037 -2.0037 6.1783
2.0037 2.0037 -6.1783
Y Co C
2 2 4
direct
0.3750 0.6250 0.7500
0.6250 0.3750 0.2500
0.1250 0.8750 0.2500
0.8750 0.1250 0.7500
0.0000 0.0000 0.0000
0.0000 0.0000 0.5000
0.0000 0.5000 0.0000
0.5000 0.0000 0.5000
```

3.
PrTi2N4 (PBE, optimized geometry); formation energy (no corrections) = -1.160 eV/atom
1.0
1.5704 -5.0757 0.0000
1.5704 5.0757 0.0000
0.0000 0.0000 10.3358
Pr Ti N
2 4 8
direct
0.1102 0.8898 0.7500
0.8898 0.1102 0.2500
0.3665 0.6335 0.5643
0.3665 0.6335 0.9357
0.6335 0.3665 0.0643
0.6335 0.3665 0.4357
0.0000 0.0000 0.0000
0.0000 0.0000 0.5000
0.2605 0.7395 0.1062
0.2605 0.7395 0.3938
0.4217 0.5783 0.7500
0.5783 0.4217 0.2500
0.7395 0.2605 0.6062
0.7395 0.2605 0.8938

4.
KRbTl2F4 (PBE, optimized geometry); formation energy (no corrections) = -2.209 eV/atom
1.0
6.8690 0.0000 0.0000
0.0000 3.9624 0.0000
-2.2902 0.0000 6.5498
K Rb Tl F
1 1 2 4
direct
0.0000 0.0000 0.0000
0.5000 0.5000 0.0000
0.0000 0.5000 0.5000
0.5000 0.0000 0.5000
0.2407 0.5000 0.2404
0.2444 0.0000 0.7553
0.7556 0.0000 0.2447
0.7593 0.5000 0.7596

5.
DFT (PBE) results for a geometry-optimized Li2TcW structure.

```
Li2TcW
1.0
4.5190 -1.2597 0.0000
4.5190 1.2597 0.0000
-0.2242 0.0000 5.3467
Li Tc W
2 1 1
direct
0.0000 0.0000 0.0000
0.2482 0.2482 0.7802
0.5024 0.5024 0.4904
0.7479 0.7479 0.2943
```

6.
DFT (PBE) results for a geometry-optimized LaTc2Pt structure.

```
LaTc2Pt
1.0
1.4327 0.8272 10.0973
-1.4327 0.8272 10.0973
0.0000 -1.6544 10.0973
La Tc Pt
1 2 1
direct
0.0000 0.0000 0.0000
0.2393 0.2393 0.2393
0.7607 0.7607 0.7607
0.5000 0.5000 0.5000
```

no.,energy (eV/atom),M_tot (μB/f.u.)
1,-3.8527,0.0
2,-7.7575,0.0
3,-8.8560,0.0
4,-3.9947,0.0
5,-6.4280,0.0
6,-7.3713,0.0